# 1
# RePbAu (meta-GGA SCAN, PBEsol geometry)
data_RePbAu
_cell_length_a 2.814
_cell_length_b 4.292
_cell_length_c 5.604
_cell_angle_alpha 112.52
_cell_angle_beta 104.54
_cell_angle_gamma 90.00
_symmetry_space_group_name_H-M 'P 1'
_symmetry_Int_Tables_number 1
_symmetry_space_group_name_Hall 'P 1'
loop_
_atom_site_label
_atom_site_fract_x
_atom_site_fract_y
_atom_site_fract_z
Au1 0.961 0.961 0.922
Re1 0.371 0.371 0.743
Pb1 0.667 0.667 0.335
# - DFT formation energy (meV/atom) = 971
# - V (Å³/atom) = 20.1

---

# 2
# LiSnSe3 (meta-GGA SCAN, PBEsol geometry)
data_LiSnSe3
_cell_length_a 5.263
_cell_length_b 5.263
_cell_length_c 5.263
_cell_angle_alpha 90.00
_cell_angle_beta 90.00
_cell_angle_gamma 90.00
_symmetry_space_group_name_H-M 'P 1'
_symmetry_Int_Tables_number 1
_symmetry_space_group_name_Hall 'P 1'
loop_
_atom_site_label
_atom_site_fract_x
_atom_site_fract_y
_atom_site_fract_z
Se1 0.500 0.000 0.000
Se2 0.000 0.000 0.500
Se3 0.000 0.500 0.000
Sn1 0.000 0.000 0.000
Li1 0.500 0.500 0.500
# - energy relative to the elements, uncorrected (eV/atom) = -0.028
# - V (Å³/atom) = 29.2

---

# 3
# NaPO3 (meta-GGA SCAN, PBEsol geometry)
data_NaPO3
_cell_length_a 7.042
_cell_length_b 7.100
_cell_length_c 7.900
_cell_angle_alpha 93.82
_cell_angle_beta 103.27
_cell_angle_gamma 90.13
_symmetry_space_group_name_H-M 'P 1'
_symmetry_Int_Tables_number 1
_symmetry_space_group_name_Hall 'P 1'
loop_
_atom_site_label
_atom_site_fract_x
_atom_site_fract_y
_atom_site_fract_z
O1 0.176 0.685 0.213
O2 0.724 0.347 0.401
O3 0.508 0.588 0.254
O4 0.636 0.232 0.011
O5 0.955 0.939 0.298
O6 0.126 0.233 0.010
O7 0.865 0.588 0.255
O8 0.364 0.768 0.989
O9 0.241 0.305 0.463
O10 0.492 0.412 0.746
O11 0.824 0.315 0.787
O12 0.442 0.939 0.298
O13 0.045 0.061 0.702
O14 0.874 0.767 0.990
O15 0.276 0.653 0.599
O16 0.135 0.412 0.745
O17 0.558 0.061 0.702
O18 0.759 0.695 0.537
Na1 0.255 0.976 0.515
Na2 0.055 0.751 0.781
Na3 0.423 0.241 0.197
Na4 0.945 0.249 0.219
Na5 0.745 0.024 0.485
Na6 0.577 0.759 0.803
P1 0.719 0.555 0.383
P2 0.622 0.235 0.820
P3 0.281 0.445 0.617
P4 0.042 0.235 0.819
P5 0.958 0.765 0.181
P6 0.378 0.765 0.180
# - energy relative to the elements, uncorrected (eV/atom) = -2.465
# - V (Å³/atom) = 12.8

---

The calculation returns the following final energy values, one per record and in order: -213.1; -98.7; -273.8 eV per cell.
The calculation returns the following total magnetization values, one per record and in order: 0.00; 0.00; 0.00 μB per formula unit.